[1]
Density functional theory data (PBE) for a relaxed NiWBr2 crystal.

The structure in CIF format:
```
data_NiWBr2
_space_group_name_H-M_alt 'R 3 m'
_space_group_IT_number 160
_space_group_name_Hall 'R 3 -2"'
_cell_length_a 3.3456
_cell_length_b 3.3456
_cell_length_c 26.3451
_cell_angle_alpha 90.00
_cell_angle_beta 90.00
_cell_angle_gamma 120.00
loop_
_atom_site_label
_atom_site_fract_x
_atom_site_fract_y
_atom_site_fract_z
Ni1 0.0000 0.0000 0.0000
W1 0.0000 0.0000 0.7274
Br1 0.0000 0.0000 0.2737
Br2 0.0000 0.0000 0.4642
```

[2]
Density functional theory data (PBE) for a relaxed NiWBr2 crystal.

The structure in CIF format:
```
data_NiWBr2
_space_group_name_H-M_alt 'P 1 2/m 1'
_space_group_IT_number 10
_cell_length_a 3.132
_cell_length_b 4.227
_cell_length_c 5.678
_cell_angle_alpha 90.00
_cell_angle_beta 94.94
_cell_angle_gamma 90.00
loop_
_space_group_symop_operation_xyz
'x,y,z'
'-x,-y,-z'
'-x,y,-z'
'x,-y,z'
loop_
_atom_site_label
_atom_site_fract_x
_atom_site_fract_y
_atom_site_fract_z
Ni1 0.000 0.000 0.000
W1 0.000 0.000 0.500
Br1 0.203 0.500 0.750
```

[3]
Density functional theory data (PBE) for a relaxed NiW2Br crystal.

The structure in CIF format:
```
data_NiW2Br
_space_group_name_H-M_alt 'P 4/m m m'
_space_group_IT_number 123
_space_group_name_Hall '-P 4 2'
_cell_length_a 4.581
_cell_length_b 4.581
_cell_length_c 2.843
_cell_angle_alpha 90.00
_cell_angle_beta 90.00
_cell_angle_gamma 90.00
loop_
_atom_site_label
_atom_site_fract_x
_atom_site_fract_y
_atom_site_fract_z
Ni1 0.000 0.000 0.000
W1 0.000 0.500 0.500
Br1 0.500 0.500 0.000
```

[4]
Density functional theory data (PBE) for a relaxed NiWBr2 crystal.

The structure in CIF format:
```
data_NiWBr2
_space_group_name_H-M_alt 'I m m m'
_space_group_IT_number 71
_space_group_name_Hall '-I 2 2'
_cell_length_a 3.082
_cell_length_b 4.145
_cell_length_c 14.798
_cell_angle_alpha 90.00
_cell_angle_beta 90.00
_cell_angle_gamma 90.00
loop_
_atom_site_label
_atom_site_fract_x
_atom_site_fract_y
_atom_site_fract_z
Ni1 0.000 0.000 0.000
W1 0.000 0.000 0.500
Br1 0.000 0.500 0.143
```

What are the excess energy over the best structure of this formula in the dataset values for these records? In order: 119.2 783.0 493.3 236.8 meV per atom.
What are the formation energy from raw total energies values for these records? In order: 261.9 925.7 973.3 379.5 meV per atom.